VASP calculation (GGA-PBE) on an optimized crystal structure of Ca2DyZrP4.

Values from the calculation:
E_form ... -1232 meV/atom
Total magnetization ... 0.000 μB/atom

```
8
Lattice="3.942 0.000 0.000 0.000 6.865 0.131 0.000 -2.388 6.625" Properties=species:S:1:pos:R:3 pbc="T T T"
Ca 1.971 -1.194 3.313
Ca 0.000 2.239 3.378
Dy 1.971 3.433 0.066
Zr 0.000 0.000 0.000
P 1.971 1.049 1.530
P 1.971 3.429 5.227
P 0.000 -0.158 5.123
P 0.000 4.635 1.634
```